No. 1
KRe3Sb (SCAN, PBEsol geometry); M_tot = 0.683 μB/atom; ΔE_f (raw) = 2.600 eV/atom
1.0
-0.4910 -3.5897 3.3327
2.3493 -3.1116 -3.0054
4.2981 1.2907 2.0234
Re K Sb
3 1 1
direct
0.0000 0.0000 0.5000
0.0000 0.5000 0.0000
0.5000 0.0000 0.0000
0.5000 0.5000 0.5000
0.0000 0.0000 0.0000

---

No. 2
K2ScRe (SCAN, PBEsol geometry); calculated formation energy = 0.754 eV/atom; M_tot = 0.000 μB/atom; offset from the most stable computed form = 0.0469 eV/atom
1.0
-3.3711 0.6602 0.5073
-0.0021 -2.1221 2.7485
2.5098 8.0422 6.2113
K Re Sc
2 1 1
direct
0.0000 0.0000 0.3309
0.5000 0.5000 0.9411
0.5000 0.5000 0.5656
0.0000 0.0000 0.6624

---

No. 3
K2ScRe (SCAN, PBEsol geometry); calculated formation energy = 0.708 eV/atom; M_tot = 0.022 μB/atom; offset from the most stable computed form = 0.0000 eV/atom
1.0
-1.4434 2.6553 0.3754
-3.6526 -1.7712 -1.5170
-0.1597 -3.2701 10.1639
Sc K Re
1 2 1
direct
0.0000 0.5000 0.0000
0.8506 0.8577 0.7012
0.1494 0.1423 0.2988
0.5000 0.0000 0.0000

---

No. 4
K2ScRe (SCAN, PBEsol geometry); calculated formation energy = 1.180 eV/atom; M_tot = 0.000 μB/atom; offset from the most stable computed form = 0.4727 eV/atom
1.0
-0.5716 -2.8719 -0.0661
3.8973 -0.5291 -3.2605
2.2617 0.8081 6.4991
K Re Sc
2 1 1
direct
0.0000 0.0000 0.5000
0.5000 0.5000 0.5000
0.5000 0.0000 0.0000
0.0000 0.5000 0.0000

---

Question: Look up the M_tot of the first one.
Answer: 0.683 μB/atom

---

Please write out number 2 again, unchanged.
K2ScRe (SCAN, PBEsol geometry); calculated formation energy = 0.754 eV/atom; M_tot = 0.000 μB/atom; offset from the most stable computed form = 0.0469 eV/atom
1.0
-3.3711 0.6602 0.5073
-0.0021 -2.1221 2.7485
2.5098 8.0422 6.2113
K Re Sc
2 1 1
direct
0.0000 0.0000 0.3309
0.5000 0.5000 0.9411
0.5000 0.5000 0.5656
0.0000 0.0000 0.6624

---

Question: Look up the M_tot of the fourth one.
Answer: 0.000 μB/atom

---

Please write out number 4 again, unchanged.
K2ScRe (SCAN, PBEsol geometry); calculated formation energy = 1.180 eV/atom; M_tot = 0.000 μB/atom; offset from the most stable computed form = 0.4727 eV/atom
1.0
-0.5716 -2.8719 -0.0661
3.8973 -0.5291 -3.2605
2.2617 0.8081 6.4991
K Re Sc
2 1 1
direct
0.0000 0.0000 0.5000
0.5000 0.5000 0.5000
0.5000 0.0000 0.0000
0.0000 0.5000 0.0000